DFT (PBE) results for a relaxed structure of Pa6Pb3O20.

a b c (Å): 8.2760 8.2760 8.2760
angles (deg): 60.00 60.00 60.00
With the nearest neighbours (Å) after each atom.
Sites, in units of the cell vectors:
Pa: 0.2703 0.2703 0.7297  8 O 2.26-2.33
Pa: 0.7297 0.7297 0.2703  8 O 2.26-2.33
Pa: 0.2703 0.7297 0.2703  8 O 2.26-2.33
Pa: 0.7297 0.2703 0.7297  8 O 2.26-2.33
Pa: 0.2703 0.7297 0.7297  8 O 2.26-2.33
Pa: 0.7297 0.2703 0.2703  8 O 2.26-2.33
O: 0.0000 0.0000 0.6868  2 Pa 2.26
O: 0.6868 0.0000 0.0000  2 Pa 2.26
O: 0.3132 0.0000 0.0000  2 Pa 2.26
O: 0.6149 0.1554 0.6149  3 Pa 2.33
O: 0.3851 0.3851 0.8446  3 Pa 2.33
O: 0.3132 0.0000 0.6868  2 Pa 2.26
O: 0.0000 0.3132 0.0000  2 Pa 2.26
O: 0.8446 0.3851 0.3851  3 Pa 2.33
O: 0.6149 0.6149 0.6149  3 Pa 2.33
O: 0.0000 0.6868 0.0000  2 Pa 2.26
O: 0.0000 0.0000 0.3132  2 Pa 2.26
O: 0.0000 0.6868 0.3132  2 Pa 2.26
O: 0.0000 0.3132 0.6868  2 Pa 2.26
O: 0.3851 0.3851 0.3851  3 Pa 2.33
O: 0.1554 0.6149 0.6149  3 Pa 2.33
O: 0.6868 0.0000 0.3132  2 Pa 2.26
O: 0.6868 0.3132 0.0000  2 Pa 2.26
O: 0.3132 0.6868 0.0000  2 Pa 2.26
O: 0.6149 0.6149 0.1554  3 Pa 2.33
O: 0.3851 0.8446 0.3851  3 Pa 2.33
Pb: 0.2500 0.2500 0.2500  4 O 2.74
Pb: 0.0000 0.0000 0.0000  12 O 2.59
Pb: 0.7500 0.7500 0.7500  4 O 2.74

Properties
Energy ... -8.352 eV/atom
Volume ... 13.8 Å³/atom
Formation energy (no corrections) ... -2.58 eV per atom

DFT (PBE) results for a relaxed structure of Pa3PbO9.

a b c (Å): 4.2401 8.1333 8.1333
angles (deg): 120.00 90.00 90.00
With the nearest neighbours (Å) after each atom.
Sites, in units of the cell vectors:
O: 0.5000 0.1964 0.8036  2 Pa 2.17
O: 0.0000 0.5000 0.5000  2 Pa 2.12
O: 0.0000 0.5000 0.0000  2 Pa 2.12
O: 0.5000 0.1964 0.3928  2 Pa 2.17
O: 0.5000 0.8036 0.6072  2 Pa 2.17
O: 0.5000 0.8036 0.1964  2 Pa 2.17
O: 0.0000 0.0000 0.5000  2 Pa 2.12
O: 0.5000 0.3928 0.1964  2 Pa 2.17
O: 0.5000 0.6072 0.8036  2 Pa 2.17
Pa: 0.5000 0.0000 0.5000  6 O 2.12-2.17
Pa: 0.5000 0.5000 0.0000  6 O 2.12-2.17
Pa: 0.5000 0.5000 0.5000  6 O 2.12-2.17
Pb: 0.0000 0.0000 0.0000  12 O 3.49

Properties
Energy ... -8.704 eV/atom
Volume ... 18.7 Å³/atom
Formation energy (no corrections) ... -2.79 eV per atom

DFT (PBE) results for a relaxed structure of PaPb3O6.

a b c (Å): 3.8345 9.8771 9.9664
angles (deg): 113.47 90.00 90.00
With the nearest neighbours (Å) after each atom.
Sites, in units of the cell vectors:
Pb: 0.7500 0.5783 0.6906  4 O 2.30-2.43
Pb: 0.2500 0.6738 0.0345  6 O 2.38-2.44
Pb: 0.7500 0.8280 0.4449  4 O 2.33-2.48
Pb: 0.2500 0.4217 0.3094  4 O 2.30-2.43
Pb: 0.2500 0.1720 0.5551  4 O 2.33-2.48
Pb: 0.7500 0.3262 0.9655  6 O 2.38-2.44
O: 0.7500 0.0396 0.9412  3 Pa 2.27-2.35, 3 O 2.53-2.54
O: 0.7500 0.8153 0.1522  1 Pa 2.27, 2 Pb 2.39
O: 0.2500 0.9448 0.5749  3 Pb 2.33-2.34, 1 Pa 2.41
O: 0.2500 0.9604 0.0588  3 Pa 2.27-2.35, 3 O 2.53-2.54
O: 0.7500 0.0552 0.4251  3 Pb 2.33-2.34, 1 Pa 2.41
O: 0.7500 0.2965 0.1940  3 Pb 2.32-2.41, 1 Pa 2.34
O: 0.7500 0.5323 0.8992  4 Pb 2.30-2.44
O: 0.2500 0.7035 0.8060  3 Pb 2.32-2.41, 1 Pa 2.34
O: 0.2500 0.1847 0.8478  1 Pa 2.27, 2 Pb 2.39
O: 0.2500 0.4677 0.1008  4 Pb 2.30-2.44
O: 0.2500 0.1745 0.3071  2 Pa 2.33, 2 Pb 2.43-2.48, 1 O 2.54
O: 0.7500 0.8255 0.6929  2 Pa 2.33, 2 Pb 2.43-2.48, 1 O 2.54
Pa: 0.7500 0.0558 0.1831  8 O 2.27-2.41
Pa: 0.2500 0.9442 0.8169  8 O 2.27-2.41

Properties
Energy ... -6.949 eV/atom
Volume ... 17.3 Å³/atom
Formation energy (no corrections) ... -1.91 eV per atom

DFT (PBE) results for a relaxed structure of Pa3PbO.

a b c (Å): 4.7959 4.7959 4.7959
angles (deg): 90.00 90.00 90.00
With the nearest neighbours (Å) after each atom.
Sites, in units of the cell vectors:
Pb: 0.5000 0.5000 0.5000  12 Pa 3.39
O: 0.0000 0.0000 0.0000  6 Pa 2.40
Pa: 0.0000 0.5000 0.0000  2 O 2.40
Pa: 0.0000 0.0000 0.5000  2 O 2.40
Pa: 0.5000 0.0000 0.0000  2 O 2.40

Properties
Energy ... -8.352 eV/atom
Volume ... 22.1 Å³/atom
Formation energy (no corrections) ... -0.92 eV per atom

DFT (PBE) results for a relaxed structure of Pa4Pb2O.

a b c (Å): 4.6866 4.6866 8.7568
angles (deg): 105.52 105.52 90.00
With the nearest neighbours (Å) after each atom.
Sites, in units of the cell vectors:
Pb: 0.3495 0.3495 0.6989  9 Pa 3.20-3.38
Pb: 0.6505 0.6505 0.3011  9 Pa 3.20-3.38
Pa: 0.1518 0.1518 0.3036  1 O 2.46
Pa: 0.8482 0.8482 0.6964  1 O 2.46
Pa: 0.5000 0.0000 0.0000  2 O 2.34
Pa: 0.0000 0.5000 0.0000  2 O 2.34
O: 0.0000 0.0000 0.0000  6 Pa 2.34-2.46

Properties
Energy ... -7.735 eV/atom
Volume ... 25.4 Å³/atom
Formation energy (no corrections) ... -0.54 eV per atom

DFT (PBE) results for a relaxed structure of PaPbO4.

a b c (Å): 3.8734 3.8734 5.5697
angles (deg): 89.98 89.98 90.00
With the nearest neighbours (Å) after each atom.
Sites, in units of the cell vectors:
Pa: 0.0000 0.5000 0.5000  8 O 2.32
O: 0.5002 0.5001 0.2716  2 Pa 2.32, 2 Pb 2.46, 1 O 2.54
O: 0.4998 0.4999 0.7284  2 Pa 2.32, 2 Pb 2.46, 1 O 2.54
O: 0.0001 0.0002 0.2716  2 Pa 2.32, 2 Pb 2.46, 1 O 2.54
O: 0.9999 0.9998 0.7284  2 Pa 2.32, 2 Pb 2.46, 1 O 2.54
Pb: 0.5000 0.0000 0.0000  8 O 2.46

Properties
Energy ... -7.956 eV/atom
Volume ... 13.9 Å³/atom
Formation energy (no corrections) ... -2.45 eV per atom

DFT (PBE) results for a relaxed structure of Pa2Pb2O7.

a b c (Å): 3.5127 7.7112 7.7112
angles (deg): 54.95 76.83 76.83
With the nearest neighbours (Å) after each atom.
Sites, in units of the cell vectors:
O: 0.8132 0.0867 0.2870  2 Pa 2.23
O: 0.8436 0.4464 0.8663  1 Pa 2.16
O: 0.1868 0.7130 0.9133  2 Pa 2.23
O: 0.3481 0.7576 0.5462  2 Pa 2.18
O: 0.1564 0.1337 0.5536  1 Pa 2.16
O: 0.6519 0.4538 0.2424  2 Pa 2.18
O: 0.5000 0.0202 0.9798  3 Pb 2.22-2.26
Pb: 0.0000 0.8201 0.1799  2 O 2.26
Pb: 0.5000 0.3316 0.6684  1 O 2.22
Pa: 0.2446 0.3007 0.2101  5 O 2.16-2.23
Pa: 0.7554 0.7899 0.6993  5 O 2.16-2.23

Properties
Distance to the lowest polymorph of the same formula ... 136 meV/atom
Energy ... -8.132 eV/atom
Volume ... 15.0 Å³/atom
Formation energy (no corrections) ... -2.58 eV per atom

DFT (PBE) results for a relaxed structure of PaPdPb2O6.

a b c (Å): 6.1973 6.0180 5.7581
angles (deg): 61.33 60.84 57.98
With the nearest neighbours (Å) after each atom.
Sites, in units of the cell vectors:
Pd: 0.3162 0.3162 0.0515  4 O 2.06
O: 0.5194 0.6332 0.8453  1 Pa 2.19, 1 Pd 2.36
O: 0.1240 0.4962 0.7599  1 Pd 2.06, 1 Pa 2.21
O: 0.6364 0.0675 0.8123  1 Pd 2.06, 1 Pa 2.13
O: 0.5084 0.1362 0.3430  1 Pd 2.06, 1 Pa 2.21
O: 0.1129 0.9992 0.2577  1 Pa 2.19, 1 Pd 2.36
O: 0.9959 0.5650 0.2906  1 Pd 2.06, 1 Pa 2.13
Pb: 0.5264 0.5666 0.3103  4 O 2.52-2.62
Pb: 0.1059 0.0654 0.7931  4 O 2.52-2.62
Pa: 0.8162 0.8161 0.5515  6 O 2.13-2.21

Properties
Energy ... -6.898 eV/atom
Volume ... 15.2 Å³/atom
Formation energy (no corrections) ... -1.71 eV per atom

DFT (PBE) results for a relaxed structure of PaPd2PbO6.

a b c (Å): 5.6452 5.6452 6.8485
angles (deg): 65.66 65.66 60.00
With the nearest neighbours (Å) after each atom.
Sites, in units of the cell vectors:
Pb: 0.0000 0.0000 0.0000  6 O 2.60
O: 0.8906 0.5786 0.3080  2 Pd 2.20-2.23, 1 Pa 2.21
O: 0.2228 0.8906 0.3080  2 Pd 2.20-2.23, 1 Pa 2.21
O: 0.4214 0.7772 0.6920  2 Pd 2.20-2.23, 1 Pa 2.21
O: 0.5786 0.2228 0.3080  2 Pd 2.20-2.23, 1 Pa 2.21
O: 0.1094 0.4214 0.6920  2 Pd 2.20-2.23, 1 Pa 2.21
O: 0.7772 0.1094 0.6920  2 Pd 2.20-2.23, 1 Pa 2.21
Pd: 0.1739 0.1739 0.4782  6 O 2.20-2.23
Pd: 0.8261 0.8261 0.5218  6 O 2.20-2.23
Pa: 0.5000 0.5000 0.5000  6 O 2.21

Properties
Energy ... -6.786 eV/atom
Volume ... 16.6 Å³/atom
Formation energy (no corrections) ... -1.45 eV per atom

DFT (PBE) results for a relaxed structure of PaPdPbO5.

a b c (Å): 6.0527 6.0527 8.2800
angles (deg): 99.64 99.64 116.02
With the nearest neighbours (Å) after each atom.
Sites, in units of the cell vectors:
O: 0.2351 0.8310 0.5774  1 Pd 2.03, 1 Pa 2.16
O: 0.7649 0.1690 0.4226  1 Pd 2.03, 1 Pa 2.16
O: 0.6627 0.6170 0.4133  1 Pd 2.00, 1 Pa 2.20
O: 0.6170 0.6627 0.9133  1 Pd 2.00, 1 Pa 2.20
O: 0.0633 0.9367 0.2500  2 Pa 2.17
O: 0.8310 0.2351 0.0774  1 Pd 2.03, 1 Pa 2.16
O: 0.3373 0.3830 0.5867  1 Pd 2.00, 1 Pa 2.20
O: 0.1690 0.7649 0.9226  1 Pd 2.03, 1 Pa 2.16
O: 0.3830 0.3373 0.0867  1 Pd 2.00, 1 Pa 2.20
O: 0.9367 0.0633 0.7500  2 Pa 2.17
Pb: 0.3208 0.6792 0.2500  3 O 2.48-2.64
Pb: 0.6792 0.3208 0.7500  3 O 2.48-2.64
Pa: 0.0000 0.0000 0.5000  6 O 2.16-2.20
Pa: 0.0000 0.0000 0.0000  6 O 2.16-2.20
Pd: 0.6655 0.3345 0.2500  4 O 2.00-2.03
Pd: 0.3345 0.6655 0.7500  4 O 2.00-2.03

Properties
Energy ... -7.168 eV/atom
Volume ... 16.2 Å³/atom
Formation energy (no corrections) ... -1.77 eV per atom

DFT (PBE) results for a relaxed structure of PaPdPbO6.

a b c (Å): 5.5017 5.5017 10.1101
angles (deg): 90.00 90.00 120.00
With the nearest neighbours (Å) after each atom.
Sites, in units of the cell vectors:
O: 0.0178 0.6564 0.8627  1 Pd 2.05, 1 Pa 2.18
O: 0.9822 0.6386 0.3627  1 Pd 2.05, 1 Pa 2.18
O: 0.6386 0.9822 0.8627  1 Pd 2.05, 1 Pa 2.18
O: 0.3614 0.3436 0.3627  1 Pd 2.05, 1 Pa 2.18
O: 0.3436 0.9822 0.6373  1 Pd 2.05, 1 Pa 2.18
O: 0.6386 0.6564 0.6373  1 Pd 2.05, 1 Pa 2.18
O: 0.0178 0.3614 0.6373  1 Pd 2.05, 1 Pa 2.18
O: 0.9822 0.3436 0.1373  1 Pd 2.05, 1 Pa 2.18
O: 0.6564 0.6386 0.1373  1 Pd 2.05, 1 Pa 2.18
O: 0.3436 0.3614 0.8627  1 Pd 2.05, 1 Pa 2.18
O: 0.3614 0.0178 0.1373  1 Pd 2.05, 1 Pa 2.18
O: 0.6564 0.0178 0.3627  1 Pd 2.05, 1 Pa 2.18
Pa: 0.3333 0.6667 0.2500  6 O 2.18
Pa: 0.6667 0.3333 0.7500  6 O 2.18
Pb: 0.0000 0.0000 0.0000  6 O 2.39
Pb: 0.0000 0.0000 0.5000  6 O 2.39
Pd: 0.3333 0.6667 0.7500  6 O 2.05
Pd: 0.6667 0.3333 0.2500  6 O 2.05

Properties
Energy ... -7.049 eV/atom
Volume ... 14.7 Å³/atom
Formation energy (no corrections) ... -1.70 eV per atom

DFT (PBE) results for a relaxed structure of PrPaPb2O6.

a b c (Å): 6.0916 6.3350 8.7985
angles (deg): 90.00 89.73 90.00
With the nearest neighbours (Å) after each atom.
Sites, in units of the cell vectors:
Pa: 0.5000 0.0000 0.5000  6 O 2.20-2.21
Pa: 0.0000 0.5000 0.0000  6 O 2.20-2.21
O: 0.6138 0.0346 0.2623  1 Pa 2.21, 1 Pr 2.42, 1 Pb 2.44
O: 0.8266 0.7935 0.9416  1 Pa 2.20, 1 Pr 2.43
O: 0.1734 0.2065 0.0584  1 Pa 2.20, 1 Pr 2.43
O: 0.8008 0.8214 0.5525  1 Pa 2.20, 1 Pr 2.41, 1 Pb 2.46
O: 0.6992 0.3214 0.9475  1 Pa 2.20, 1 Pr 2.41, 1 Pb 2.46
O: 0.6734 0.2935 0.5584  1 Pa 2.20, 1 Pr 2.43
O: 0.8862 0.5346 0.2377  1 Pa 2.21, 1 Pr 2.42, 1 Pb 2.44
O: 0.3862 0.9654 0.7377  1 Pa 2.21, 1 Pr 2.42, 1 Pb 2.44
O: 0.1992 0.1786 0.4475  1 Pa 2.20, 1 Pr 2.41, 1 Pb 2.46
O: 0.1138 0.4654 0.7623  1 Pa 2.21, 1 Pr 2.42, 1 Pb 2.44
O: 0.3008 0.6786 0.0525  1 Pa 2.20, 1 Pr 2.41, 1 Pb 2.46
O: 0.3266 0.7065 0.4416  1 Pa 2.20, 1 Pr 2.43
Pb: 0.5077 0.5300 0.7523  3 O 2.44-2.48
Pb: 0.0077 0.9700 0.2523  3 O 2.44-2.48
Pb: 0.9923 0.0300 0.7477  3 O 2.44-2.48
Pb: 0.4923 0.4700 0.2477  3 O 2.44-2.48
Pr: 0.5000 0.0000 0.0000  6 O 2.41-2.43
Pr: 0.0000 0.5000 0.5000  6 O 2.41-2.43

Properties
Energy ... -7.672 eV/atom
Volume ... 17.0 Å³/atom
Formation energy (no corrections) ... -2.53 eV per atom